<w>
{"formula": "HfMg6C", "functional": "GGA-PBE", "state": "optimized geometry", "n_ef_per_ev_atom": 0.62, "lattice_angstrom": [[3.973, -5.022, 0.000], [3.973, 5.022, 0.000], [0.000, 0.000, 4.477]], "species": ["C", "Mg", "Mg", "Mg", "Mg", "Mg", "Mg", "Hf"], "fractional_positions": [[0.378, 0.622, 0.000], [0.610, 0.926, 0.000], [0.799, 0.201, 0.500], [0.592, 0.408, 0.000], [0.285, 0.104, 0.500], [0.074, 0.390, 0.000], [0.896, 0.715, 0.500], [0.366, 0.634, 0.500]]}

---

<x>
{"formula": "HfMg6C", "functional": "GGA-PBE", "state": "optimized geometry", "n_ef_per_ev_atom": 0.41, "lattice_angstrom": [[2.730, -6.028, 0.000], [2.730, 6.028, 0.000], [0.000, 0.000, 4.719]], "species": ["Mg", "Mg", "Mg", "Mg", "Mg", "Mg", "C", "Hf"], "fractional_positions": [[0.806, 0.701, 0.500], [0.167, 0.328, 0.000], [0.159, 0.841, 0.000], [0.700, 0.300, 0.000], [0.672, 0.833, 0.000], [0.299, 0.194, 0.500], [0.884, 0.116, 0.500], [0.313, 0.687, 0.500]]}

---

Stability check: which of them is least stable? <x>.